[1]
The following is a GGA-PBE calculation of an optimized crystal structure of CeTmZr2, from the Alexandria database.

- symmetry = P4/mmm
- energy above the most stable polymorph in this dataset (meV per atom) = 13.0
- V (Å³/atom) = 25.9

Unit cell a=4.6990 b=4.6927 c=4.6927 alpha=90.00 beta=90.00 gamma=90.00
Closest atoms and distances in Å follow each position.
Positions (direct):
Tm 0.5000 0.0000 0.0000  4 Ce 3.32, 8 Zr 3.32
Zr 0.0000 0.0000 0.5000  4 Zr 3.32, 4 Ce 3.32, 4 Tm 3.32
Zr 0.0000 0.5000 0.0000  4 Zr 3.32, 4 Ce 3.32, 4 Tm 3.32
Ce 0.5000 0.5000 0.5000  4 Tm 3.32, 8 Zr 3.32


[2]
The following is a GGA-PBE calculation of an optimized crystal structure of NiWC2, from the Alexandria database.

- symmetry = Fm-3m
- energy above the most stable polymorph in this dataset (meV per atom) = 438.4
- V (Å³/atom) = 9.2

Unit cell a=3.7334 b=3.7334 c=3.7334 alpha=60.00 beta=60.00 gamma=60.00
Closest atoms and distances in Å follow each position.
Positions (direct):
Ni 0.0000 0.0000 0.0000  8 C 2.29
C 0.2500 0.2500 0.2500  4 W 2.29, 4 Ni 2.29
C 0.7500 0.7500 0.7500  4 Ni 2.29, 4 W 2.29
W 0.5000 0.5000 0.5000  8 C 2.29


[3]
The following is a GGA-PBE calculation of an optimized crystal structure of BaGe2Ir, from the Alexandria database.

- symmetry = C2/c
- V (Å³/atom) = 24.9
- DFT total energy (eV/atom) = -5.48

Unit cell a=5.8958 b=6.3769 c=6.7432 alpha=106.36 beta=103.32 gamma=115.93
Closest atoms and distances in Å follow each position.
Positions (direct):
Ba 0.1086 0.3586 0.2172  8 Ge 3.26-3.53, 2 Ir 3.51
Ba 0.8914 0.6414 0.7828  8 Ge 3.26-3.53, 2 Ir 3.51
Ge 0.5121 0.0968 0.2505  2 Ir 2.45-2.46
Ge 0.7384 0.6537 0.2505  2 Ir 2.45-2.46
Ge 0.4879 0.9032 0.7495  2 Ir 2.45-2.46
Ge 0.2616 0.3463 0.7495  2 Ir 2.45-2.46
Ir 0.7672 0.0172 0.5343  4 Ge 2.45-2.46
Ir 0.2328 0.9828 0.4657  4 Ge 2.45-2.46


[4]
The following is a GGA-PBE calculation of an optimized crystal structure of Gd2DyCo, from the Alexandria database.

- symmetry = R-3m
- energy above the most stable polymorph in this dataset (meV per atom) = 39.9
- V (Å³/atom) = 27.6

Unit cell a=3.7040 b=3.7040 c=9.5238 alpha=78.79 beta=78.79 gamma=60.00
Closest atoms and distances in Å follow each position.
Positions (direct):
Gd 0.2756 0.2756 0.1732  3 Co 2.68
Gd 0.7244 0.7244 0.8268  3 Co 2.68
Co 0.0000 0.0000 0.0000  6 Gd 2.68
Dy 0.5000 0.5000 0.5000  6 Dy 3.70, 6 Gd 3.71


[5]
The following is a GGA-PBE calculation of an optimized crystal structure of Ho2CoC, from the Alexandria database.

- symmetry = R-3m
- energy above the most stable polymorph in this dataset (meV per atom) = 286.7
- V (Å³/atom) = 18.5

Unit cell a=3.5337 b=3.5337 c=7.1243 alpha=75.64 beta=75.64 gamma=60.00
Closest atoms and distances in Å follow each position.
Positions (direct):
C 0.5000 0.5000 0.5000  6 Ho 2.46
Co 0.0000 0.0000 0.0000  6 Ho 2.89
Ho 0.2337 0.2337 0.2990  3 C 2.46
Ho 0.7663 0.7663 0.7010  3 C 2.46


[6]
The following is a GGA-PBE calculation of an optimized crystal structure of Cu2GeHPt, from the Alexandria database.

- symmetry = P4/mmm
- V (Å³/atom) = 15.3
- DFT total energy (eV/atom) = -4.04

Unit cell a=4.8571 b=3.2368 c=4.8571 alpha=90.00 beta=90.00 gamma=90.00
Closest atoms and distances in Å follow each position.
Positions (direct):
H 0.0000 0.5000 0.0000  2 Pt 1.62
Ge 0.5000 0.5000 0.5000  8 Cu 2.92, 2 Ge 3.24
Cu 0.0000 0.0000 0.5000  2 Pt 2.43
Cu 0.5000 0.0000 0.0000  2 Pt 2.43
Pt 0.0000 0.0000 0.0000  2 H 1.62